No. 1
The following is a GGA-PBE calculation of a relaxed structure of Ga3HgBr, from the Alexandria database.

It has space group Pm-3m (No. 221), with a = 5.339 Å, b = 5.339 Å, c = 5.339 Å, α = 90.00°, β = 90.00° and γ = 90.00°. The inequivalent atoms are Ga at (0.000, 0.000, 0.500), Hg at (0.000, 0.000, 0.000) and Br at (0.500, 0.500, 0.500).

The calculation puts the offset from the most stable computed form at 0.0000 eV/atom. Its magnetic moment is 0.00 Bohr magnetons per cell. The density of states at the Fermi level comes out at 2.65 states/eV/f.u. The energy relative to the elements, uncorrected comes out at 153 meV/atom. The crystal system is cubic.

***

No. 2
The following is a GGA-PBE calculation of a relaxed structure of Pm2HfSn, from the Alexandria database.

It has space group R-3m (No. 166, hexagonal axes), with a = 3.4162 Å, b = 3.4162 Å, c = 35.4903 Å, α = 90.00°, β = 90.00° and γ = 120.00°. The inequivalent atoms are Pm at (0.0000, 0.0000, 0.0914), Hf at (0.0000, 0.0000, 0.5000) and Sn at (0.0000, 0.0000, 0.0000).

The calculation puts the offset from the most stable computed form at 0.3824 eV/atom. As for the formation enthalpy at 0 K: 141 meV/atom. Its magnetic moment is 0.00 Bohr magnetons per cell. The density of states at the Fermi level comes out at 3.92 states/eV/f.u. The crystal system is trigonal.

***

No. 3
The following is a GGA-PBE calculation of a relaxed structure of Mg2Cd3Ga, from the Alexandria database.

It has space group Pmm2 (No. 25), with a = 3.154 Å, b = 4.829 Å, c = 8.517 Å, α = 90.00°, β = 90.00° and γ = 90.00°. The inequivalent atoms are Mg at (0.000, 0.000, 0.000), Mg at (0.000, 0.500, 0.478), Cd at (0.500, 0.000, 0.645), Cd at (0.500, 0.500, 0.162), Cd at (0.500, 0.500, 0.825) and Ga at (0.500, 0.000, 0.321).

As for the formation enthalpy at 0 K: -53 meV/atom. Its magnetic moment is 0.00 Bohr magnetons per cell. The density of states at the Fermi level comes out at 2.17 states/eV/f.u. The crystal system is orthorhombic.

***

No. 4
The following is a GGA-PBE calculation of a relaxed structure of CaHg2Pd4, from the Alexandria database.

It has space group I4/mmm (No. 139), with a = 6.796 Å, b = 6.796 Å, c = 6.070 Å, α = 90.00°, β = 90.00° and γ = 90.00°. The inequivalent atoms are Ca at (0.000, 0.000, 0.000), Hg at (0.000, 0.500, 0.000) and Pd at (0.250, 0.250, 0.250).

As for the formation enthalpy at 0 K: -214 meV/atom. Its magnetic moment is 0.00 Bohr magnetons per cell. The density of states at the Fermi level comes out at 1.37 states/eV/f.u. The crystal system is tetragonal.

***

No. 5
The following is a GGA-PBE calculation of a relaxed structure of PuPaCN, from the Alexandria database.

It has space group R3m (No. 160, hexagonal axes), with a = 3.5850 Å, b = 3.5850 Å, c = 17.1353 Å, α = 90.00°, β = 90.00° and γ = 120.00°. The inequivalent atoms are Pu at (0.0000, 0.0000, 0.0000), Pa at (0.0000, 0.0000, 0.4981), C at (0.0000, 0.0000, 0.2443) and N at (0.0000, 0.0000, 0.7556).

Its magnetic moment is 15.66 Bohr magnetons per cell. The density of states at the Fermi level comes out at 5.78 states/eV/f.u. The energy relative to the elements, uncorrected comes out at -846 meV/atom. The crystal system is trigonal.

***

No. 6
The following is a GGA-PBE calculation of a relaxed structure of BaMgTe2, from the Alexandria database.

It has space group P4/mmm (No. 123), with a = 4.726 Å, b = 4.726 Å, c = 6.696 Å, α = 90.00°, β = 90.00° and γ = 90.00°. The inequivalent atoms are Ba at (0.000, 0.000, 0.000), Mg at (0.500, 0.500, 0.500), Te at (0.000, 0.000, 0.500) and Te at (0.500, 0.500, 0.000).

Its magnetic moment is 0.00 Bohr magnetons per cell. The density of states at the Fermi level comes out at 0.38 states/eV/f.u. The energy relative to the elements, uncorrected comes out at -1064 meV/atom. The crystal system is tetragonal.

***

No. 7
The following is a GGA-PBE calculation of a relaxed structure of GeHS2N, from the Alexandria database.

It has space group P4/mmm (No. 123), with a = 4.841 Å, b = 4.841 Å, c = 3.720 Å, α = 90.00°, β = 90.00° and γ = 90.00°. The inequivalent atoms are Ge at (0.000, 0.000, 0.000), H at (0.500, 0.500, 0.500), S at (0.000, 0.500, 0.000) and N at (0.000, 0.000, 0.500).

The calculation puts the offset from the most stable computed form at 0.3350 eV/atom. Its magnetic moment is 2.90 Bohr magnetons per cell. The density of states at the Fermi level comes out at 3.81 states/eV/f.u. The crystal system is tetragonal.

***

No. 8
The following is a GGA-PBE calculation of a relaxed structure of Mg2Mo, from the Alexandria database.

It has space group Fm-3m (No. 225), with a = 6.601 Å, b = 6.601 Å, c = 6.601 Å, α = 90.00°, β = 90.00° and γ = 90.00°. The inequivalent atoms are Mg at (0.250, 0.250, 0.250) and Mo at (0.000, 0.000, 0.000).

The calculation puts the offset from the most stable computed form at 0.8984 eV/atom. As for the formation enthalpy at 0 K: 1121 meV/atom. Its magnetic moment is 11.30 Bohr magnetons per cell. The density of states at the Fermi level comes out at 2.81 states/eV/f.u. The crystal system is cubic.

***

No. 9
The following is a GGA-PBE calculation of a relaxed structure of CaNb2Bi, from the Alexandria database.

It has space group I-42d (No. 122), with a = 8.383 Å, b = 8.383 Å, c = 5.799 Å, α = 90.00°, β = 90.00° and γ = 90.00°. The inequivalent atoms are Ca at (0.000, 0.000, 0.000), Nb at (0.211, 0.250, 0.625) and Bi at (0.000, 0.000, 0.500).

As for the formation enthalpy at 0 K: 802 meV/atom. Its magnetic moment is 0.00 Bohr magnetons per cell. The density of states at the Fermi level comes out at 5.58 states/eV/f.u. The crystal system is tetragonal.

***

No. 10
The following is a GGA-PBE calculation of a relaxed structure of La2YMn, from the Alexandria database.

It has space group C2/m (No. 12), with a = 6.543 Å, b = 11.465 Å, c = 3.535 Å, α = 90.00°, β = 116.50° and γ = 90.00°. The inequivalent atoms are La at (0.250, 0.250, 0.000), Y at (0.000, 0.000, 0.500) and Mn at (0.000, 0.500, 0.500).

The calculation puts the offset from the most stable computed form at 0.2144 eV/atom. As for the formation enthalpy at 0 K: 369 meV/atom. Its magnetic moment is 6.51 Bohr magnetons per cell. The density of states at the Fermi level comes out at 6.40 states/eV/f.u. The crystal system is monoclinic.

***

No. 11
The following is a GGA-PBE calculation of a relaxed structure of NaHgCl3, from the Alexandria database.

It has space group P2_1 (No. 4), with a = 7.857 Å, b = 4.085 Å, c = 8.966 Å, α = 90.00°, β = 104.57° and γ = 90.00°. The inequivalent atoms are Na at (0.229, 0.000, 0.169), Hg at (0.184, 0.001, 0.711), Cl at (0.132, 0.502, 0.381), Cl at (0.164, 0.501, 0.928) and Cl at (0.485, 0.002, 0.711).

The calculation puts the offset from the most stable computed form at 0.0042 eV/atom. Its magnetic moment is 0.00 Bohr magnetons per cell. The density of states at the Fermi level comes out at 0.00 states/eV/f.u. The energy relative to the elements, uncorrected comes out at -1055 meV/atom. The crystal system is monoclinic.

***

No. 12
The following is a GGA-PBE calculation of a relaxed structure of In2SbTe, from the Alexandria database.

It has space group Cmmm (No. 65), with a = 6.931 Å, b = 8.301 Å, c = 3.969 Å, α = 90.00°, β = 90.00° and γ = 90.00°. The inequivalent atoms are In at (0.250, 0.250, 0.000), Sb at (0.000, 0.000, 0.500) and Te at (0.000, 0.500, 0.500).

The calculation puts the offset from the most stable computed form at 0.1698 eV/atom. Its magnetic moment is 0.00 Bohr magnetons per cell. The density of states at the Fermi level comes out at 1.59 states/eV/f.u. The energy relative to the elements, uncorrected comes out at 13 meV/atom. The crystal system is orthorhombic.